Record 1
CeNdGaAu: relaxed, GGA-PBE.

Unit cell a=5.2469 b=5.2469 c=5.2469 alpha=60.00 beta=60.00 gamma=60.00
Site moments in Bohr magnetons follow the coordinates.
Fractional positions:
Nd: 0.7500 0.7500 0.7500  0.15
Ga: 0.5000 0.5000 0.5000  -0.01
Au: 0.0000 0.0000 0.0000  0.03
Ce: 0.2500 0.2500 0.2500  0.84

Summary:
- size of the total moment (μB per formula unit) = 1.4
- density of states at the Fermi level (states/eV per cell) = 10.2
- energy (eV per formula unit) = -19.155
- volume (A^3/atom) = 25.534

Record 2
AlOsS2: relaxed, GGA-PBE.

Unit cell a=7.5960 b=7.5960 c=7.5960 alpha=24.33 beta=24.33 gamma=24.33
Fractional positions:
Al: 0.5000 0.5000 0.5000
Os: 0.0000 0.0000 0.0000
S: 0.8978 0.8978 0.8978
S: 0.1022 0.1022 0.1022

Summary:
- size of the total moment (μB per formula unit) = 0.0
- density of states at the Fermi level (states/eV per cell) = 3.0
- E_form (uncorrected) (eV/atom) = -0.0453
- energy (eV per formula unit) = -23.408
- volume (A^3/atom) = 16.353

Record 3
RbNi2Cl: relaxed, GGA-PBE.

Unit cell a=4.7786 b=4.7786 c=4.7786 alpha=60.00 beta=60.00 gamma=60.00
Site moments in Bohr magnetons follow the coordinates.
Fractional positions:
Rb: 0.5000 0.5000 0.5000  -0.01
Ni: 0.7500 0.7500 0.7500  0.22
Cl: 0.0000 0.0000 0.0000  0.00
Ni: 0.2500 0.2500 0.2500  0.22

Summary:
- size of the total moment (μB per formula unit) = 0.4
- density of states at the Fermi level (states/eV per cell) = 8.1
- E_form (uncorrected) (eV/atom) = 0.9975
- energy (eV per formula unit) = -10.387
- volume (A^3/atom) = 19.290